Here is KPdF after structural relaxation from the Alexandria database. Energies are from PBE. Values from VASP.

Uncorrected formation energy, meV/atom: -1265
Space-group type: No. 63
Excess energy over the best structure of this formula in the dataset, meV/atom: 148

Geometry as Quantum ESPRESSO input:
```
&SYSTEM
  ibrav = 0, nat = 6, ntyp = 3
/
ATOMIC_SPECIES
F 19.00 F.upf
K 39.10 K.upf
Pd 106.42 Pd.upf
CELL_PARAMETERS angstrom
2.6683 -6.5058 0.0000
2.6683 6.5058 0.0000
0.0000 0.0000 3.5194
ATOMIC_POSITIONS crystal
F 0.8094 0.1906 0.2500
K 0.3452 0.6548 0.2500
Pd 0.0692 0.9308 0.2500
F 0.1906 0.8094 0.7500
K 0.6548 0.3452 0.7500
Pd 0.9308 0.0692 0.7500
```

Here is KPdF after structural relaxation from the Alexandria database. Energies are from PBE. Values from VASP.

Uncorrected formation energy, meV/atom: -1030
Space-group type: No. 129
Excess energy over the best structure of this formula in the dataset, meV/atom: 383

Geometry as Quantum ESPRESSO input:
```
&SYSTEM
  ibrav = 0, nat = 6, ntyp = 3
/
ATOMIC_SPECIES
Pd 106.42 Pd.upf
K 39.10 K.upf
F 19.00 F.upf
CELL_PARAMETERS angstrom
3.7684 0.0000 0.0000
0.0000 3.7684 0.0000
0.0000 0.0000 9.8196
ATOMIC_POSITIONS crystal
Pd 0.0000 0.5000 0.9724
K 0.0000 0.5000 0.3406
F 0.5000 0.5000 0.5000
Pd 0.5000 0.0000 0.0276
K 0.5000 0.0000 0.6594
F 0.0000 0.0000 0.5000
```

Here is K4Pd3F12 after structural relaxation from the Alexandria database. Energies are from PBE. Values from VASP.

Uncorrected formation energy, meV/atom: -1944
Space-group type: No. 204

Geometry as Quantum ESPRESSO input:
```
&SYSTEM
  ibrav = 0, nat = 19, ntyp = 3
/
ATOMIC_SPECIES
K 39.10 K.upf
F 19.00 F.upf
Pd 106.42 Pd.upf
CELL_PARAMETERS angstrom
7.5786 0.0000 -2.6794
-3.7893 6.5633 -2.6794
0.0000 0.0000 8.0383
ATOMIC_POSITIONS crystal
K 0.0000 0.5000 0.0000
F 0.1495 0.3516 0.5011
F 0.1495 0.6484 0.7980
K 0.5000 0.0000 0.0000
K 0.5000 0.5000 0.5000
F 0.3516 0.2020 0.8505
F 0.7980 0.1495 0.6484
F 0.3516 0.5011 0.1495
F 0.4989 0.8505 0.6484
Pd 0.5000 0.0000 0.5000
F 0.8505 0.3516 0.2020
F 0.2020 0.8505 0.3516
F 0.6484 0.4989 0.8505
K 0.0000 0.0000 0.5000
F 0.6484 0.7980 0.1495
F 0.8505 0.6484 0.4989
Pd 0.5000 0.5000 0.0000
F 0.5011 0.1495 0.3516
Pd 0.0000 0.5000 0.5000
```

Here is KPd2F11 after structural relaxation from the Alexandria database. Energies are from PBE. Values from VASP.

Uncorrected formation energy, meV/atom: -1320
Space-group type: No. 72

Geometry as Quantum ESPRESSO input:
```
&SYSTEM
  ibrav = 0, nat = 28, ntyp = 3
/
ATOMIC_SPECIES
F 19.00 F.upf
Pd 106.42 Pd.upf
K 39.10 K.upf
CELL_PARAMETERS angstrom
8.4802 0.0000 4.4202
3.8226 7.1710 3.0111
0.9009 0.2221 8.6163
ATOMIC_POSITIONS crystal
F 0.9362 0.8710 0.3741
F 0.6280 0.6629 0.5824
Pd 0.8449 0.1461 0.8539
F 0.1267 0.5824 0.6629
F 0.3733 0.8371 0.9176
F 0.8187 0.3741 0.8710
F 0.5638 0.1259 0.6290
F 0.3187 0.3710 0.8741
F 0.6267 0.1629 0.0824
Pd 0.6551 0.6461 0.3539
F 0.0638 0.1290 0.6259
F 0.3001 0.7195 0.2805
K 0.2500 0.2500 0.2500
Pd 0.3449 0.3539 0.6461
F 0.3720 0.3371 0.4176
F 0.8001 0.7805 0.2195
F 0.1999 0.2195 0.7805
F 0.8720 0.9176 0.8371
F 0.1813 0.6259 0.1290
F 0.1280 0.0824 0.1629
F 0.0000 0.0000 0.0000
F 0.6999 0.2805 0.7195
F 0.4362 0.8741 0.3710
F 0.5000 0.5000 0.5000
F 0.8733 0.4176 0.3371
Pd 0.1551 0.8539 0.1461
K 0.7500 0.7500 0.7500
F 0.6813 0.6290 0.1259
```

Here is K3Pd2F7 after structural relaxation from the Alexandria database. Energies are from PBE. Values from VASP.

Uncorrected formation energy, meV/atom: -2003
Space-group type: No. 139

Geometry as Quantum ESPRESSO input:
```
&SYSTEM
  ibrav = 0, nat = 12, ntyp = 3
/
ATOMIC_SPECIES
K 39.10 K.upf
F 19.00 F.upf
Pd 106.42 Pd.upf
CELL_PARAMETERS angstrom
-1.5199 0.9966 -3.9297
1.6076 -3.7046 -1.5613
-9.3803 -3.6811 5.0796
ATOMIC_POSITIONS crystal
K 0.6831 0.6831 0.3661
K 0.5000 0.5000 0.0000
F 0.1973 0.1973 0.3946
Pd 0.0982 0.0982 0.1964
K 0.3169 0.3169 0.6339
F 0.4035 0.9035 0.8069
F 0.8027 0.8027 0.6054
F 0.0000 0.0000 0.0000
Pd 0.9018 0.9018 0.8036
F 0.9035 0.4035 0.8069
F 0.5965 0.0965 0.1931
F 0.0965 0.5965 0.1931
```

Here is K2Pd2F after structural relaxation from the Alexandria database. Energies are from PBE. Values from VASP.

Uncorrected formation energy, meV/atom: -359
Space-group type: No. 139
Excess energy over the best structure of this formula in the dataset, meV/atom: 0

Geometry as Quantum ESPRESSO input:
```
&SYSTEM
  ibrav = 0, nat = 5, ntyp = 3
/
ATOMIC_SPECIES
F 19.00 F.upf
K 39.10 K.upf
Pd 106.42 Pd.upf
CELL_PARAMETERS angstrom
6.3289 0.0000 0.0000
0.0000 6.3289 0.0000
3.1644 3.1644 3.4915
ATOMIC_POSITIONS crystal
F 0.0000 0.0000 0.0000
K 0.7500 0.2500 0.5000
Pd 0.3219 0.3219 0.3563
Pd 0.6782 0.6782 0.6437
K 0.2500 0.7500 0.5000
```

Number 1: M_tot 0.03 Bohr magnetons per cell. Number 2: M_tot 0.00 Bohr magnetons per cell. Number 3: M_tot 2.24 Bohr magnetons per cell. Number 4: M_tot 4.34 Bohr magnetons per cell. Number 5: M_tot 0.00 Bohr magnetons per cell. Number 6: M_tot 1.00 Bohr magnetons per cell.